# Sc3Be

A relaxed Sc3Be crystal (PBE-GGA, the Alexandria database).

Properties
The theoretical density is 2.98 Mg/m³. The calculation puts the energy above the most stable polymorph in this dataset at 0.729 eV per formula unit. The calculation puts the calculated formation energy at 72 kJ/mol of formula units.

Unit cell a=4.2886 b=4.2886 c=8.7100 alpha=90.00 beta=90.00 gamma=90.00
Space group I4/mmm (No. 139)
Asymmetric unit:
Sc1 0.0000 0.0000 0.0000 (multiplicity 2)
Sc2 0.0000 0.5000 0.2500 (multiplicity 4)
Be1 0.0000 0.0000 0.5000 (multiplicity 2)